NdEr2Ge4Pd4 | GGA-PBE | relaxed

Cell lengths 8.153, 8.153, 8.153 Å; angles 150.35, 127.74, 61.24 degrees
Sites, in units of the cell vectors:
Er 0.374 0.874 0.500
Er 0.626 0.126 0.500
Pd 0.622 0.324 0.298
Pd 0.026 0.324 0.702
Pd 0.378 0.676 0.702
Pd 0.974 0.676 0.298
Nd 0.000 0.000 0.000
Ge 0.316 0.500 0.816
Ge 0.220 0.220 0.000
Ge 0.684 0.500 0.184
Ge 0.780 0.780 0.000

Results
As for the space group: No. 71. As for the total energy: -63.3 eV per formula unit.



FeBiPt2 | GGA-PBE | relaxed

Cell lengths 4.575, 4.575, 4.575 Å; angles 60.00, 60.00, 60.00 degrees
Site moments in Bohr magnetons follow the coordinates.
Sites, in units of the cell vectors:
Pt 0.750 0.750 0.750  0.10
Pt 0.000 0.000 0.000  0.17
Fe 0.250 0.250 0.250  2.78
Bi 0.500 0.500 0.500  -0.03

Results
As for the space group: No. 216. As for the total energy: -23.9 eV per formula unit.



PrSi2NiIr | GGA-PBE | relaxed

Cell lengths 5.826, 5.826, 5.826 Å; angles 139.15, 139.15, 59.14 degrees
Sites, in units of the cell vectors:
Pr 0.250 0.750 0.500
Si 0.625 0.125 0.500
Si 0.875 0.375 0.500
Ni 0.500 0.500 0.000
Ir 0.000 0.000 0.000

Results
As for the space group: No. 119. As for the total energy: -34.4 eV per formula unit.



Taking the records one at a time from the top gives spin magnetization values of 0.00, 3.02, 0.01 μB per formula unit.